[1]
# NaGeH

NaGeH after structural relaxation (GGA-PBE, Alexandria).

Cell: 5.1018 5.1018 5.1942 Å, 90.51 90.51 63.28°
Last column: nearest neighbours and their distance in Å.
Element x y z (fractional)
Na1 0.1671 0.1671 0.2526  4 H 2.69-2.89, 3 Ge 2.97-3.01
Na2 0.8329 0.8329 0.7474  4 H 2.69-2.89, 3 Ge 2.97-3.01
Ge1 0.4915 0.4915 0.7501  1 H 1.63
Ge2 0.5085 0.5085 0.2499  1 H 1.63
H1 0.3037 0.3037 0.7470  1 Ge 1.63
H2 0.6963 0.6963 0.2530  1 Ge 1.63

Calculated values
N(E_F)	0.4357	states/eV/atom
spin magnetization	0.000	Bohr magnetons per cell
excess energy over the best structure of this formula in the dataset	0.146	eV/atom

---

[2]
# TaCo2Rh

TaCo2Rh after structural relaxation (GGA-PBE, Alexandria).

Cell: 4.6234 4.6234 4.6234 Å, 132.15 132.15 70.00°
Last column: nearest neighbours and their distance in Å.
Element x y z (fractional)
Ta1 0.0000 0.0000 0.0000  8 Co 2.65-2.66, 4 Rh 2.66
Co1 0.5000 0.5000 0.0000  4 Ta 2.65, 4 Co 2.66, 4 Rh 2.66
Co2 0.7500 0.2500 0.5000  4 Rh 2.65, 4 Co 2.66, 4 Ta 2.66
Rh1 0.2500 0.7500 0.5000  8 Co 2.65-2.66, 4 Ta 2.66

Calculated values
N(E_F)	1.0060	states/eV/atom
spin magnetization	2.020	Bohr magnetons per cell
excess energy over the best structure of this formula in the dataset	0.078	eV/atom

---

Question: What is the formula in the second record?
Answer: TaCo2Rh

---

Question: Which formula does entry 2 have?
Answer: TaCo2Rh

---

Please write out number 1 again, unchanged.
# NaGeH

NaGeH after structural relaxation (GGA-PBE, Alexandria).

Cell: 5.1018 5.1018 5.1942 Å, 90.51 90.51 63.28°
Last column: nearest neighbours and their distance in Å.
Element x y z (fractional)
Na1 0.1671 0.1671 0.2526  4 H 2.69-2.89, 3 Ge 2.97-3.01
Na2 0.8329 0.8329 0.7474  4 H 2.69-2.89, 3 Ge 2.97-3.01
Ge1 0.4915 0.4915 0.7501  1 H 1.63
Ge2 0.5085 0.5085 0.2499  1 H 1.63
H1 0.3037 0.3037 0.7470  1 Ge 1.63
H2 0.6963 0.6963 0.2530  1 Ge 1.63

Calculated values
N(E_F)	0.4357	states/eV/atom
spin magnetization	0.000	Bohr magnetons per cell
excess energy over the best structure of this formula in the dataset	0.146	eV/atom